A relaxed structure of CeGaNi. Source: Alexandria, functional PBEsol.

```
CeGaNi
1.0
4.377 0.000 0.000
0.000 6.373 0.000
0.000 0.000 7.360
Ga Ce Ni
4 4 4
Cartesian
3.283 2.553 1.277
1.094 3.819 6.082
3.283 0.633 4.957
1.094 5.739 2.403
1.094 2.171 3.474
3.283 5.357 0.205
3.283 4.202 3.885
1.094 1.016 7.154
3.283 0.527 2.503
1.094 3.714 1.177
1.094 5.845 4.857
3.283 2.659 6.183
```

Properties
Energy of formation from the pure elements = -0.57 eV/atom